Record 1
SrSn2H10Br6O5 | meta-GGA SCAN | PBEsol geometry

Structure (CIF):
```
data_SrSn2H10Br6O5
_chemical_formula_sum 'Sr2 Sn4 H20 Br12 O10'
_cell_length_a 9.278
_cell_length_b 9.550
_cell_length_c 9.550
_cell_angle_alpha 102.72
_cell_angle_beta 106.45
_cell_angle_gamma 73.55
_symmetry_space_group_name_H-M 'P 1'
_symmetry_Int_Tables_number 1
loop_
_symmetry_equiv_pos_as_xyz
'x,y,z'
loop_
_atom_site_label
_atom_site_type_symbol
_atom_site_fract_x
_atom_site_fract_y
_atom_site_fract_z
H1 H 0.552 0.120 0.222
H2 H 0.412 0.046 0.764
H3 H 0.948 0.222 0.120
H4 H 0.809 0.642 0.031
H5 H 0.223 0.258 0.822
H6 H 0.777 0.742 0.178
H7 H 0.766 0.663 0.774
H8 H 0.277 0.822 0.258
H9 H 0.912 0.236 0.954
H10 H 0.266 0.226 0.337
H11 H 0.448 0.880 0.778
H12 H 0.088 0.764 0.046
H13 H 0.723 0.178 0.742
H14 H 0.691 0.031 0.642
H15 H 0.052 0.778 0.880
H16 H 0.588 0.954 0.236
H17 H 0.234 0.337 0.226
H18 H 0.309 0.969 0.358
H19 H 0.734 0.774 0.663
H20 H 0.191 0.358 0.969
Br1 Br 0.044 0.981 0.691
Br2 Br 0.599 0.303 0.430
Br3 Br 0.212 0.567 0.178
Br4 Br 0.712 0.822 0.433
Br5 Br 0.456 0.691 0.981
Br6 Br 0.099 0.570 0.697
Br7 Br 0.544 0.309 0.019
Br8 Br 0.288 0.178 0.567
Br9 Br 0.956 0.019 0.309
Br10 Br 0.788 0.433 0.822
Br11 Br 0.401 0.697 0.570
Br12 Br 0.901 0.430 0.303
O1 O 0.318 0.908 0.261
O2 O 0.447 0.978 0.839
O3 O 0.053 0.839 0.978
O4 O 0.182 0.261 0.908
O5 O 0.250 0.231 0.231
O6 O 0.818 0.739 0.092
O7 O 0.682 0.092 0.739
O8 O 0.947 0.161 0.022
O9 O 0.553 0.022 0.161
O10 O 0.750 0.769 0.769
Sn1 Sn 0.046 0.740 0.470
Sn2 Sn 0.546 0.530 0.260
Sn3 Sn 0.954 0.260 0.530
Sn4 Sn 0.454 0.470 0.740
Sr1 Sr 0.750 0.978 0.978
Sr2 Sr 0.250 0.022 0.022
```

DFT total energy	-608.5	eV per cell
volume	769.30	Å³ per cell
DOS(E_F)	0.0	states/eV/cell
space group	C2/c (15)

Record 2
SrH2Br2O7 | meta-GGA SCAN | PBEsol geometry

Structure (CIF):
```
data_SrH2Br2O7
_chemical_formula_sum 'Sr2 H4 Br4 O14'
_cell_length_a 7.404
_cell_length_b 7.404
_cell_length_c 7.490
_cell_angle_alpha 102.72
_cell_angle_beta 107.46
_cell_angle_gamma 118.29
_symmetry_space_group_name_H-M 'P 1'
_symmetry_Int_Tables_number 1
loop_
_symmetry_equiv_pos_as_xyz
'x,y,z'
loop_
_atom_site_label
_atom_site_type_symbol
_atom_site_fract_x
_atom_site_fract_y
_atom_site_fract_z
Sr1 Sr 0.101 0.351 0.750
Sr2 Sr 0.899 0.649 0.250
O1 O 0.668 0.252 0.596
O2 O 0.843 0.927 0.096
O3 O 0.157 0.073 0.904
O4 O 0.575 0.325 0.250
O5 O 0.425 0.675 0.750
O6 O 0.567 0.407 0.876
O7 O 0.770 0.903 0.493
O8 O 0.910 0.277 0.007
O9 O 0.433 0.593 0.124
O10 O 0.332 0.748 0.404
O11 O 0.030 0.691 0.624
O12 O 0.970 0.309 0.376
O13 O 0.230 0.097 0.507
O14 O 0.090 0.723 0.993
Br1 Br 0.478 0.166 0.693
Br2 Br 0.522 0.834 0.307
Br3 Br 0.027 0.215 0.193
Br4 Br 0.973 0.785 0.807
H1 H 0.585 0.284 0.368
H2 H 0.415 0.716 0.632
H3 H 0.584 0.783 0.868
H4 H 0.416 0.217 0.132
```

DFT total energy	-244.0	eV per cell
volume	311.21	Å³ per cell
DOS(E_F)	0.0	states/eV/cell
space group	C2/c (15)

Record 3
TbH18Br3O18 | meta-GGA SCAN | PBEsol geometry

Structure (CIF):
```
data_TbH18Br3O18
_chemical_formula_sum 'Tb2 H36 Br6 O36'
_cell_length_a 6.470
_cell_length_b 11.657
_cell_length_c 11.657
_cell_angle_alpha 120.00
_cell_angle_beta 90.00
_cell_angle_gamma 90.00
_symmetry_space_group_name_H-M 'P 1'
_symmetry_Int_Tables_number 1
loop_
_symmetry_equiv_pos_as_xyz
'x,y,z'
loop_
_atom_site_label
_atom_site_type_symbol
_atom_site_fract_x
_atom_site_fract_y
_atom_site_fract_z
H1 H 0.741 0.256 0.371
H2 H 0.241 0.744 0.629
H3 H 0.570 0.631 0.506
H4 H 0.741 0.629 0.884
H5 H 0.929 0.632 0.129
H6 H 0.929 0.871 0.368
H7 H 0.070 0.506 0.631
H8 H 0.929 0.632 0.504
H9 H 0.429 0.504 0.871
H10 H 0.741 0.629 0.744
H11 H 0.570 0.494 0.126
H12 H 0.570 0.494 0.369
H13 H 0.241 0.371 0.116
H14 H 0.070 0.369 0.874
H15 H 0.070 0.126 0.631
H16 H 0.429 0.129 0.632
H17 H 0.570 0.874 0.369
H18 H 0.741 0.116 0.744
H19 H 0.570 0.874 0.506
H20 H 0.429 0.368 0.871
H21 H 0.241 0.884 0.256
H22 H 0.929 0.496 0.129
H23 H 0.429 0.368 0.496
H24 H 0.929 0.496 0.368
H25 H 0.241 0.884 0.629
H26 H 0.741 0.256 0.884
H27 H 0.570 0.631 0.126
H28 H 0.429 0.129 0.496
H29 H 0.070 0.369 0.494
H30 H 0.070 0.506 0.874
H31 H 0.741 0.116 0.371
H32 H 0.241 0.744 0.116
H33 H 0.929 0.871 0.504
H34 H 0.429 0.504 0.632
H35 H 0.070 0.126 0.494
H36 H 0.241 0.371 0.256
O1 O 0.748 0.363 0.066
O2 O 0.271 0.424 0.212
O3 O 0.271 0.788 0.212
O4 O 0.962 0.908 0.816
O5 O 0.748 0.934 0.297
O6 O 0.748 0.703 0.637
O7 O 0.771 0.212 0.788
O8 O 0.771 0.212 0.424
O9 O 0.248 0.297 0.934
O10 O 0.462 0.092 0.908
O11 O 0.462 0.092 0.184
O12 O 0.494 0.579 0.421
O13 O 0.248 0.637 0.703
O14 O 0.008 0.579 0.159
O15 O 0.248 0.066 0.703
O16 O 0.494 0.579 0.158
O17 O 0.494 0.842 0.421
O18 O 0.508 0.421 0.579
O19 O 0.271 0.788 0.576
O20 O 0.994 0.421 0.842
O21 O 0.248 0.637 0.934
O22 O 0.508 0.421 0.841
O23 O 0.008 0.841 0.421
O24 O 0.248 0.297 0.363
O25 O 0.248 0.066 0.363
O26 O 0.748 0.703 0.066
O27 O 0.994 0.158 0.579
O28 O 0.462 0.816 0.908
O29 O 0.994 0.421 0.579
O30 O 0.962 0.184 0.092
O31 O 0.962 0.908 0.092
O32 O 0.508 0.159 0.579
O33 O 0.748 0.934 0.637
O34 O 0.748 0.363 0.297
O35 O 0.771 0.576 0.788
O36 O 0.008 0.579 0.421
Br1 Br 0.236 0.740 0.870
Br2 Br 0.736 0.260 0.130
Br3 Br 0.236 0.130 0.260
Br4 Br 0.736 0.870 0.740
Br5 Br 0.236 0.130 0.870
Br6 Br 0.736 0.870 0.130
Tb1 Tb 0.256 0.667 0.333
Tb2 Tb 0.756 0.333 0.667
```

DFT total energy	-634.0	eV per cell
volume	761.41	Å³ per cell
DOS(E_F)	0.0	states/eV/cell
space group	P6_3mc (186)

Record 4
TcHBrO2 | meta-GGA SCAN | PBEsol geometry

Structure (CIF):
```
data_TcHBrO2
_chemical_formula_sum 'Tc1 H1 Br1 O2'
_cell_length_a 3.715
_cell_length_b 3.715
_cell_length_c 5.212
_cell_angle_alpha 90.00
_cell_angle_beta 90.00
_cell_angle_gamma 90.00
_symmetry_space_group_name_H-M 'P 1'
_symmetry_Int_Tables_number 1
loop_
_symmetry_equiv_pos_as_xyz
'x,y,z'
loop_
_atom_site_label
_atom_site_type_symbol
_atom_site_fract_x
_atom_site_fract_y
_atom_site_fract_z
Tc1 Tc 0.000 0.000 0.500
Br1 Br 0.000 0.000 0.000
O1 O 0.500 0.000 0.000
O2 O 0.000 0.500 0.000
H1 H 0.500 0.500 0.500
```

DFT total energy	-63.8	eV per cell
volume	71.91	Å³ per cell
DOS(E_F)	1.9	states/eV/cell
space group	P4/mmm (123)

Record 5
YH18Br3O18 | meta-GGA SCAN | PBEsol geometry

Structure (CIF):
```
data_YH18Br3O18
_chemical_formula_sum 'Y2 H36 Br6 O36'
_cell_length_a 6.455
_cell_length_b 11.653
_cell_length_c 11.653
_cell_angle_alpha 120.00
_cell_angle_beta 90.00
_cell_angle_gamma 90.00
_symmetry_space_group_name_H-M 'P 1'
_symmetry_Int_Tables_number 1
loop_
_symmetry_equiv_pos_as_xyz
'x,y,z'
loop_
_atom_site_label
_atom_site_type_symbol
_atom_site_fract_x
_atom_site_fract_y
_atom_site_fract_z
H1 H 0.741 0.372 0.116
H2 H 0.070 0.632 0.506
H3 H 0.570 0.126 0.494
H4 H 0.929 0.503 0.871
H5 H 0.070 0.874 0.506
H6 H 0.070 0.494 0.368
H7 H 0.241 0.116 0.744
H8 H 0.929 0.129 0.633
H9 H 0.929 0.367 0.497
H10 H 0.429 0.633 0.129
H11 H 0.070 0.632 0.126
H12 H 0.070 0.874 0.368
H13 H 0.570 0.506 0.874
H14 H 0.929 0.129 0.497
H15 H 0.741 0.372 0.256
H16 H 0.241 0.628 0.884
H17 H 0.429 0.871 0.503
H18 H 0.741 0.744 0.628
H19 H 0.241 0.256 0.372
H20 H 0.741 0.884 0.628
H21 H 0.241 0.256 0.884
H22 H 0.741 0.744 0.116
H23 H 0.570 0.126 0.632
H24 H 0.570 0.506 0.632
H25 H 0.429 0.633 0.503
H26 H 0.741 0.884 0.256
H27 H 0.429 0.497 0.367
H28 H 0.241 0.628 0.744
H29 H 0.929 0.367 0.871
H30 H 0.429 0.497 0.129
H31 H 0.070 0.494 0.126
H32 H 0.570 0.368 0.874
H33 H 0.570 0.368 0.494
H34 H 0.929 0.503 0.633
H35 H 0.241 0.116 0.372
H36 H 0.429 0.871 0.367
O1 O 0.748 0.637 0.703
O2 O 0.494 0.421 0.579
O3 O 0.462 0.908 0.092
O4 O 0.748 0.297 0.363
O5 O 0.248 0.363 0.066
O6 O 0.962 0.816 0.908
O7 O 0.748 0.066 0.363
O8 O 0.509 0.580 0.160
O9 O 0.509 0.580 0.420
O10 O 0.248 0.703 0.066
O11 O 0.272 0.212 0.788
O12 O 0.962 0.092 0.908
O13 O 0.009 0.420 0.840
O14 O 0.994 0.842 0.421
O15 O 0.994 0.579 0.158
O16 O 0.509 0.840 0.420
O17 O 0.462 0.908 0.816
O18 O 0.494 0.158 0.579
O19 O 0.994 0.579 0.421
O20 O 0.272 0.212 0.424
O21 O 0.009 0.420 0.580
O22 O 0.272 0.576 0.788
O23 O 0.248 0.363 0.297
O24 O 0.248 0.934 0.297
O25 O 0.248 0.703 0.637
O26 O 0.748 0.637 0.934
O27 O 0.494 0.421 0.842
O28 O 0.748 0.066 0.703
O29 O 0.772 0.788 0.576
O30 O 0.009 0.160 0.580
O31 O 0.462 0.184 0.092
O32 O 0.772 0.788 0.212
O33 O 0.248 0.934 0.637
O34 O 0.962 0.092 0.184
O35 O 0.772 0.424 0.212
O36 O 0.748 0.297 0.934
Y1 Y 0.756 0.667 0.333
Y2 Y 0.256 0.333 0.667
Br1 Br 0.236 0.870 0.130
Br2 Br 0.736 0.130 0.260
Br3 Br 0.236 0.260 0.130
Br4 Br 0.736 0.130 0.870
Br5 Br 0.736 0.740 0.870
Br6 Br 0.236 0.870 0.740
```

DFT total energy	-596.3	eV per cell
volume	759.08	Å³ per cell
DOS(E_F)	0.0	states/eV/cell
space group	P6_3mc (186)

Record 6
H2OsBr | meta-GGA SCAN | PBEsol geometry

Structure (CIF):
```
data_H2OsBr
_chemical_formula_sum 'H2 Os1 Br1'
_cell_length_a 3.828
_cell_length_b 3.828
_cell_length_c 3.828
_cell_angle_alpha 60.00
_cell_angle_beta 60.00
_cell_angle_gamma 60.00
_symmetry_space_group_name_H-M 'P 1'
_symmetry_Int_Tables_number 1
loop_
_symmetry_equiv_pos_as_xyz
'x,y,z'
loop_
_atom_site_label
_atom_site_type_symbol
_atom_site_fract_x
_atom_site_fract_y
_atom_site_fract_z
Os1 Os 0.500 0.500 0.500
Br1 Br 0.000 0.000 0.000
H1 H 0.250 0.250 0.250
H2 H 0.750 0.750 0.750
```

DFT total energy	-91.1	eV per cell
volume	39.66	Å³ per cell
DOS(E_F)	2.0	states/eV/cell
space group	Fm-3m (225)

Record 7
HOsPb2Br | meta-GGA SCAN | PBEsol geometry

Structure (CIF):
```
data_HOsPb2Br
_chemical_formula_sum 'H1 Os1 Pb2 Br1'
_cell_length_a 3.368
_cell_length_b 5.353
_cell_length_c 5.353
_cell_angle_alpha 90.00
_cell_angle_beta 90.00
_cell_angle_gamma 90.00
_symmetry_space_group_name_H-M 'P 1'
_symmetry_Int_Tables_number 1
loop_
_symmetry_equiv_pos_as_xyz
'x,y,z'
loop_
_atom_site_label
_atom_site_type_symbol
_atom_site_fract_x
_atom_site_fract_y
_atom_site_fract_z
H1 H 0.000 0.000 0.000
Pb1 Pb 0.000 0.500 0.000
Pb2 Pb 0.000 0.000 0.500
Os1 Os 0.500 0.000 0.000
Br1 Br 0.500 0.500 0.500
```

DFT total energy	-243.7	eV per cell
volume	96.53	Å³ per cell
DOS(E_F)	2.0	states/eV/cell
space group	P4/mmm (123)

Record 8
P2HWBr | meta-GGA SCAN | PBEsol geometry

Structure (CIF):
```
data_P2HWBr
_chemical_formula_sum 'P2 H1 W1 Br1'
_cell_length_a 4.580
_cell_length_b 4.933
_cell_length_c 4.933
_cell_angle_alpha 90.00
_cell_angle_beta 90.00
_cell_angle_gamma 90.00
_symmetry_space_group_name_H-M 'P 1'
_symmetry_Int_Tables_number 1
loop_
_symmetry_equiv_pos_as_xyz
'x,y,z'
loop_
_atom_site_label
_atom_site_type_symbol
_atom_site_fract_x
_atom_site_fract_y
_atom_site_fract_z
P1 P 0.000 0.000 0.500
P2 P 0.000 0.500 0.000
Br1 Br 0.000 0.000 0.000
W1 W 0.500 0.000 0.000
H1 H 0.500 0.500 0.500
```

DFT total energy	-99.7	eV per cell
volume	111.44	Å³ per cell
DOS(E_F)	3.7	states/eV/cell
space group	P4/mmm (123)